Entry P
VASP calculation (PBE-GGA) on a relaxed structure of ZrZn3Mo.

Cell: 5.057 5.057 5.057 Å, 90.00 90.00 90.00°
Element x y z (fractional)
Zr (0.000, 0.000, 0.000)
Zn (0.000, 0.000, 0.500)
Zn (0.000, 0.500, 0.000)
Zn (0.500, 0.000, 0.000)
Mo (0.500, 0.500, 0.500)

Computed properties:
Its space group is No. 221.

Entry Q
VASP calculation (PBE-GGA) on a relaxed structure of ZrZn3Mo.

Cell: 4.715 4.715 4.715 Å, 90.00 90.00 90.00°
Element x y z (fractional)
Zr (0.000, 0.000, 0.000)
Zn (0.000, 0.500, 0.500)
Zn (0.500, 0.000, 0.500)
Zn (0.500, 0.500, 0.000)
Mo (0.500, 0.500, 0.500)

Computed properties:
Its space group is No. 221.

List of relative energies, unit kJ/mol of atoms: entry P 75.2; entry Q 0.0

Entry P
VASP calculation (PBE-GGA) on a relaxed structure of Zr4ZnMo.

Cell: 4.763 4.763 7.533 Å, 108.36 108.36 60.04°
Element x y z (fractional)
Zr (0.125, 0.125, 0.375)
Zr (0.368, 0.368, 0.105)
Zr (0.632, 0.632, 0.895)
Zr (0.875, 0.875, 0.625)
Zn (0.500, 0.500, 0.500)
Mo (0.000, 0.000, 0.000)

Computed properties:
Its space group is No. 12.

Entry Q
VASP calculation (PBE-GGA) on a relaxed structure of Zr4ZnMo.

Cell: 5.635 5.635 5.635 Å, 60.00 60.00 60.00°
Element x y z (fractional)
Zr (0.123, 0.123, 0.123)
Zr (0.123, 0.123, 0.630)
Zr (0.123, 0.630, 0.123)
Zr (0.630, 0.123, 0.123)
Zn (0.500, 0.500, 0.500)
Mo (0.750, 0.750, 0.750)

Computed properties:
Its space group is No. 216.

List of relative energies, unit kJ/mol of atoms: entry P 0.0; entry Q 26.8

Entry P
VASP calculation (PBE-GGA) on a relaxed structure of Zr3Mo.

Cell: 5.678 5.678 5.678 Å, 116.90 116.90 116.90°
Element x y z (fractional)
Zr (0.000, 0.500, 0.500)
Zr (0.500, 0.000, 0.500)
Zr (0.500, 0.500, 0.000)
Mo (0.000, 0.000, 0.000)

Computed properties:
Its space group is No. 166.

Entry Q
VASP calculation (PBE-GGA) on a relaxed structure of Zr3Mo.

Cell: 3.135 4.667 5.851 Å, 90.00 102.96 90.00°
Element x y z (fractional)
Zr (0.000, 0.000, 0.000)
Zr (0.321, 0.500, 0.733)
Zr (0.679, 0.500, 0.267)
Mo (0.500, 0.000, 0.500)

Computed properties:
Its space group is No. 10.

List of relative energies, unit kJ/mol of atoms: entry P 6.9; entry Q 0.0

Entry P
VASP calculation (PBE-GGA) on a relaxed structure of Zr3Mo.

Cell: 5.777 5.777 5.777 Å, 145.41 63.33 128.73°
Element x y z (fractional)
Zr (0.000, 0.000, 0.000)
Zr (0.269, 0.489, 0.780)
Zr (0.709, 0.489, 0.220)
Mo (0.526, 0.026, 0.500)

Computed properties:
Its space group is No. 44.

Entry Q
VASP calculation (PBE-GGA) on a relaxed structure of Zr3Mo.

Cell: 2.923 5.001 5.719 Å, 90.00 90.00 90.00°
Element x y z (fractional)
Zr (0.000, 0.000, 0.000)
Zr (0.000, 0.500, 0.290)
Zr (0.500, 0.500, 0.776)
Mo (0.500, 0.000, 0.519)

Computed properties:
Its space group is No. 25.

Entry R
VASP calculation (PBE-GGA) on a relaxed structure of Zr3Mo.

Cell: 6.304 6.304 4.923 Å, 90.00 90.00 120.00°
Element x y z (fractional)
Zr (0.174, 0.348, 0.250)
Zr (0.174, 0.826, 0.250)
Zr (0.348, 0.174, 0.750)
Zr (0.652, 0.826, 0.250)
Zr (0.826, 0.174, 0.750)
Zr (0.826, 0.652, 0.750)
Mo (0.333, 0.667, 0.750)
Mo (0.667, 0.333, 0.250)

Computed properties:
Its space group is No. 194.

Entry S
VASP calculation (PBE-GGA) on a relaxed structure of Zr3Mo.

Cell: 3.386 3.386 7.315 Å, 90.00 90.00 90.00°
Element x y z (fractional)
Zr (0.000, 0.000, 0.000)
Zr (0.500, 0.500, 0.282)
Zr (0.500, 0.500, 0.718)
Mo (0.000, 0.000, 0.500)

Computed properties:
Its space group is No. 123.

List of relative energies, unit kJ/mol of atoms: entry P 0.0; entry Q 20.6; entry R 19.8; entry S 2.1

Entry P
VASP calculation (PBE-GGA) on a relaxed structure of Zr3Mo.

Cell: 5.111 5.111 5.111 Å, 90.00 90.00 90.00°
Element x y z (fractional)
Zr (0.000, 0.000, 0.500)
Zr (0.000, 0.500, 0.000)
Zr (0.500, 0.000, 0.000)
Mo (0.000, 0.000, 0.000)

Computed properties:
Its space group is No. 221.

Entry Q
VASP calculation (PBE-GGA) on a relaxed structure of Zr3Mo.

Cell: 10.426 10.426 10.426 Å, 157.45 157.45 32.11°
Element x y z (fractional)
Zr (0.000, 0.500, 0.500)
Zr (0.126, 0.126, 0.000)
Zr (0.250, 0.750, 0.500)
Zr (0.500, 0.000, 0.500)
Zr (0.750, 0.250, 0.500)
Zr (0.874, 0.874, 0.000)
Mo (0.379, 0.379, 0.000)
Mo (0.621, 0.621, 0.000)

Computed properties:
Its space group is No. 139.

List of relative energies, unit kJ/mol of atoms: entry P 107.4; entry Q 0.0

Entry P
VASP calculation (PBE-GGA) on a relaxed structure of Zr3Mo.

Cell: 5.701 5.701 2.974 Å, 90.00 90.00 120.38°
Element x y z (fractional)
Zr (0.000, 0.000, 0.000)
Zr (0.000, 0.500, 0.500)
Zr (0.500, 0.000, 0.500)
Mo (0.500, 0.500, 0.000)

Computed properties:
Its space group is No. 65.

Entry Q
VASP calculation (PBE-GGA) on a relaxed structure of Zr3Mo.

Cell: 5.494 5.494 5.494 Å, 90.00 90.00 90.00°
Element x y z (fractional)
Zr (0.000, 0.250, 0.500)
Zr (0.000, 0.750, 0.500)
Zr (0.250, 0.500, 0.000)
Zr (0.500, 0.000, 0.250)
Zr (0.500, 0.000, 0.750)
Zr (0.750, 0.500, 0.000)
Mo (0.000, 0.000, 0.000)
Mo (0.500, 0.500, 0.500)

Computed properties:
Its space group is No. 223.

List of relative energies, unit kJ/mol of atoms: entry P 5.5; entry Q 0.0